Entry 1:
Material: Tb3PdPt3
Method: DFT, PBE-GGA
State: relaxed

Results
Space group   P2_13, No. 198
V   21.84 Å³/atom
Theoretical density   12.7 g/cm3
Energy relative to the elements   -1.062 eV per atom
Total DFT energy (no corrections)   -6.38 eV per atom
Total magnetization   0.00 μB per formula unit

abc: 8.488 8.488 8.488
angles: 90.00 90.00 90.00
Element x y z (fractional)
Pd: 0.920 0.080 0.580
Tb: 0.498 0.262 0.122
Pt: 0.167 0.167 0.167
Tb: 0.238 0.878 0.998
Pt: 0.837 0.337 0.163
Pt: 0.333 0.833 0.667
Pt: 0.337 0.163 0.837
Tb: 0.378 0.502 0.762
Pt: 0.096 0.404 0.596
Pt: 0.163 0.837 0.337
Pt: 0.667 0.333 0.833
Pt: 0.596 0.096 0.404
Pd: 0.420 0.420 0.420
Pt: 0.833 0.667 0.333
Tb: 0.262 0.122 0.498
Tb: 0.762 0.378 0.502
Pt: 0.904 0.904 0.904
Tb: 0.002 0.738 0.622
Tb: 0.122 0.498 0.262
Tb: 0.878 0.998 0.238
Tb: 0.998 0.238 0.878
Pd: 0.580 0.920 0.080
Pt: 0.663 0.663 0.663
Tb: 0.622 0.002 0.738
Tb: 0.738 0.622 0.002
Pt: 0.404 0.596 0.096
Tb: 0.502 0.762 0.378
Pd: 0.080 0.580 0.920

***

Entry 2:
Material: BaScCu2Te4
Method: DFT, PBE-GGA
State: relaxed

Results
Space group   I222, No. 23
V   32.29 Å³/atom
Theoretical density   5.3 g/cm3
Formation energy without anion corrections   -669 meV/atom
Total DFT energy (no corrections)   -4.30 eV per atom
Total magnetization   0.00 μB per formula unit

abc: 6.993 7.020 7.020
angles: 71.97 60.13 60.13
Element x y z (fractional)
Te: 0.909 0.518 0.121
Cu: 0.859 0.641 0.641
Te: 0.548 0.482 0.879
Ba: 0.000 0.000 0.000
Te: 0.452 0.121 0.518
Sc: 0.500 0.500 0.500
Cu: 0.141 0.359 0.359
Te: 0.091 0.879 0.482

***

Entry 3:
Material: SrZr2Pt2
Method: DFT, PBE-GGA
State: relaxed

Results
Excess energy over the best structure of this formula in the dataset   0.000 eV per atom
Space group   I4/mmm, No. 139
V   24.21 Å³/atom
Theoretical density   9.1 g/cm3
Energy relative to the elements   -0.817 eV per atom
Total DFT energy (no corrections)   -6.99 eV per atom
Total magnetization   0.00 μB per formula unit

abc: 4.700 4.700 6.409
angles: 68.49 68.49 90.00
Element x y z (fractional)
Pt: 0.624 0.624 0.751
Zr: 0.250 0.750 0.500
Sr: 0.000 0.000 0.000
Pt: 0.376 0.376 0.249
Zr: 0.750 0.250 0.500

***

Entry 4:
Material: Tb3Er5Tm4
Method: DFT, PBE-GGA
State: relaxed

Results
Excess energy over the best structure of this formula in the dataset   0.000 eV per atom
Space group   P-1, No. 2
V   30.46 Å³/atom
Theoretical density   9.0 g/cm3
Energy relative to the elements   0.022 eV per atom
Total DFT energy (no corrections)   -4.53 eV per atom
Total magnetization   0.00 μB per formula unit

abc: 7.019 11.082 12.634
angles: 151.29 56.33 129.26
Element x y z (fractional)
Tb: 0.000 0.000 0.500
Tb: 0.584 0.167 0.334
Er: 0.500 0.000 0.500
Er: 0.334 0.667 0.834
Tm: 0.166 0.333 0.166
Er: 0.749 0.501 0.001
Er: 0.666 0.333 0.166
Tm: 0.834 0.667 0.834
Tm: 0.917 0.833 0.667
Tb: 0.416 0.833 0.666
Er: 0.251 0.499 0.999
Tm: 0.083 0.167 0.333

***

Entry 5:
Material: SrZnCd2Pd2
Method: DFT, PBE-GGA
State: relaxed

Results
Space group   I4/mmm, No. 139
V   25.99 Å³/atom
Theoretical density   6.3 g/cm3
Energy relative to the elements   -0.258 eV per atom
Total DFT energy (no corrections)   -2.79 eV per atom
Total magnetization   0.00 μB per formula unit

abc: 5.333 5.333 6.655
angles: 113.62 113.62 90.00
Element x y z (fractional)
Sr: 0.500 0.500 0.000
Cd: 0.250 0.750 0.500
Pd: 0.780 0.780 0.559
Pd: 0.220 0.220 0.441
Cd: 0.750 0.250 0.500
Zn: 0.000 0.000 0.000

***

Entry 6:
Material: Sr3Hg8Pd3
Method: DFT, PBE-GGA
State: relaxed

Results
Space group   Immm, No. 71
V   25.10 Å³/atom
Theoretical density   10.3 g/cm3
Energy relative to the elements   -0.409 eV per atom
Total DFT energy (no corrections)   -2.05 eV per atom
Total magnetization   0.00 μB per formula unit

abc: 4.777 9.010 9.010
angles: 73.81 74.63 74.63
Element x y z (fractional)
Hg: 0.156 0.481 0.206
Hg: 0.844 0.794 0.519
Sr: 0.816 0.184 0.184
Hg: 0.156 0.206 0.481
Hg: 0.844 0.519 0.794
Pd: 0.000 0.171 0.829
Sr: 0.184 0.816 0.816
Sr: 0.500 0.500 0.500
Hg: 0.379 0.911 0.330
Hg: 0.379 0.330 0.911
Pd: 0.000 0.829 0.171
Hg: 0.621 0.670 0.089
Hg: 0.621 0.089 0.670
Pd: 0.500 0.000 0.000